(1)
First-principles (GGA-PBE) data for a geometry-optimized Hf2AgSnH structure, as listed in Alexandria via LeMat-Bulk.

* total magnetic moment: 0.00 μB per atom
* raw total energy: -6.223 eV/atom
* theoretical density: 11.60 g cm⁻³

abc: 4.319 4.319 4.486
angles: 90.00 90.00 90.00
Space group P4/mmm (No. 123)
Unique sites:
1 Hf 0.000 0.500 0.000 (multiplicity 2)
2 Ag 0.000 0.000 0.500 (multiplicity 1)
3 Sn 0.500 0.500 0.500 (multiplicity 1)
4 H 0.000 0.000 0.000 (multiplicity 1)

***

(2)
First-principles (GGA-PBE) data for a geometry-optimized Hf2TaAgH structure, as listed in Alexandria via LeMat-Bulk.

* total magnetic moment: 0.00 μB per atom
* raw total energy: -7.597 eV/atom
* theoretical density: 13.32 g cm⁻³

abc: 4.408 4.408 4.151
angles: 90.00 90.00 90.00
Space group P4/mmm (No. 123)
Unique sites:
1 Hf 0.000 0.500 0.000 (multiplicity 2)
2 Ta 0.000 0.000 0.500 (multiplicity 1)
3 Ag 0.500 0.500 0.500 (multiplicity 1)
4 H 0.000 0.000 0.000 (multiplicity 1)

***

(3)
First-principles (GGA-PBE) data for a geometry-optimized Hf2ZrAgH structure, as listed in Alexandria via LeMat-Bulk.

* total magnetic moment: 0.00 μB per atom
* raw total energy: -6.954 eV/atom
* theoretical density: 10.80 g cm⁻³

abc: 4.388 4.388 4.447
angles: 90.00 90.00 90.00
Space group P4/mmm (No. 123)
Unique sites:
1 Hf 0.000 0.500 0.000 (multiplicity 2)
2 Zr 0.000 0.000 0.500 (multiplicity 1)
3 Ag 0.500 0.500 0.500 (multiplicity 1)
4 H 0.500 0.500 0.000 (multiplicity 1)

***

(4)
First-principles (GGA-PBE) data for a geometry-optimized Hf2ZrAgH structure, as listed in Alexandria via LeMat-Bulk.

* total magnetic moment: 0.00 μB per atom
* raw total energy: -7.021 eV/atom
* theoretical density: 10.81 g cm⁻³

abc: 4.408 4.408 4.403
angles: 90.00 90.00 90.00
Space group P4/mmm (No. 123)
Unique sites:
1 Hf 0.000 0.500 0.000 (multiplicity 2)
2 Zr 0.000 0.000 0.500 (multiplicity 1)
3 Ag 0.500 0.500 0.500 (multiplicity 1)
4 H 0.000 0.000 0.000 (multiplicity 1)

***

(5)
First-principles (GGA-PBE) data for a geometry-optimized HfZr2AgH structure, as listed in Alexandria via LeMat-Bulk.

* total magnetic moment: 0.00 μB per atom
* raw total energy: -6.764 eV/atom
* theoretical density: 9.02 g cm⁻³

abc: 4.423 4.423 4.423
angles: 90.00 90.00 90.00
Space group P4/mmm (No. 123)
Unique sites:
1 Hf 0.000 0.000 0.000 (multiplicity 1)
2 Zr 0.000 0.500 0.500 (multiplicity 2)
3 Ag 0.500 0.500 0.000 (multiplicity 1)
4 H 0.000 0.000 0.500 (multiplicity 1)

***

(6)
First-principles (GGA-PBE) data for a geometry-optimized HfZr2AgH structure, as listed in Alexandria via LeMat-Bulk.

* total magnetic moment: 0.00 μB per atom
* raw total energy: -6.701 eV/atom
* theoretical density: 9.02 g cm⁻³

abc: 4.405 4.405 4.455
angles: 90.00 90.00 90.00
Space group P4/mmm (No. 123)
Unique sites:
1 Hf 0.000 0.000 0.000 (multiplicity 1)
2 Zr 0.000 0.500 0.500 (multiplicity 2)
3 Ag 0.500 0.500 0.000 (multiplicity 1)
4 H 0.500 0.500 0.500 (multiplicity 1)

***

(7)
First-principles (GGA-PBE) data for a geometry-optimized AgHg3H structure, as listed in Alexandria via LeMat-Bulk.

* total magnetic moment: 0.00 μB per atom
* raw total energy: -1.285 eV/atom
* theoretical density: 10.19 g cm⁻³

abc: 3.473 8.847 15.071
angles: 90.00 91.15 90.00
Space group P2_1/c (No. 14)
Unique sites:
1 Ag 0.000 0.249 0.001 (multiplicity 4)
2 Hg 0.039 0.502 0.632 (multiplicity 4)
3 Hg 0.040 0.502 0.131 (multiplicity 4)
4 Hg 0.498 0.250 0.249 (multiplicity 4)
5 H 0.500 0.248 0.001 (multiplicity 4)

***

(8)
First-principles (GGA-PBE) data for a geometry-optimized AgHgH structure, as listed in Alexandria via LeMat-Bulk.

* total magnetic moment: 0.00 μB per atom
* raw total energy: -1.975 eV/atom
* theoretical density: 9.93 g cm⁻³

abc: 3.2128 3.2128 5.7890
angles: 90.00 90.00 120.00
Space group P-6m2 (No. 187)
Unique sites:
1 Ag 0.0000 0.0000 0.0000 (multiplicity 1)
2 Hg 0.3333 0.6667 0.5000 (multiplicity 1)
3 H 0.6667 0.3333 0.0000 (multiplicity 1)

***

(9)
First-principles (GGA-PBE) data for a geometry-optimized AgHg6H2 structure, as listed in Alexandria via LeMat-Bulk.

* total magnetic moment: 0.00 μB per atom
* raw total energy: -1.060 eV/atom
* theoretical density: 10.61 g cm⁻³

abc: 10.635 10.789 7.183
angles: 90.00 93.93 90.00
Space group C2/c (No. 15)
Unique sites:
1 Ag 0.000 0.178 0.250 (multiplicity 4)
2 Hg 0.029 0.363 0.968 (multiplicity 8)
3 Hg 0.130 0.006 0.004 (multiplicity 8)
4 Hg 0.233 0.239 0.723 (multiplicity 8)
5 H 0.207 0.477 0.986 (multiplicity 8)

***

(10)
First-principles (GGA-PBE) data for a geometry-optimized AgHg2H2 structure, as listed in Alexandria via LeMat-Bulk.

* total magnetic moment: 0.00 μB per atom
* raw total energy: -1.618 eV/atom
* theoretical density: 8.41 g cm⁻³

abc: 7.396 7.396 3.691
angles: 90.00 90.00 90.00
Space group P4/mbm (No. 127)
Unique sites:
1 Ag 0.000 0.000 0.000 (multiplicity 2)
2 Hg 0.148 0.352 0.000 (multiplicity 4)
3 H 0.142 0.358 0.500 (multiplicity 4)

***

(11)
First-principles (GGA-PBE) data for a geometry-optimized AgHg2H2 structure, as listed in Alexandria via LeMat-Bulk.

* total magnetic moment: 0.00 μB per atom
* raw total energy: -1.744 eV/atom
* theoretical density: 9.61 g cm⁻³

abc: 4.946 6.035 6.767
angles: 86.03 71.38 67.63
Space group P-1 (No. 2)
Unique sites:
1 Ag 0.129 0.104 0.322 (multiplicity 2)
2 Hg 0.174 0.148 0.883 (multiplicity 2)
3 Hg 0.455 0.489 0.757 (multiplicity 2)
4 H 0.102 0.086 0.611 (multiplicity 2)
5 H 0.321 0.305 0.281 (multiplicity 2)

***

(12)
First-principles (GGA-PBE) data for a geometry-optimized AgHg2H structure, as listed in Alexandria via LeMat-Bulk.

* total magnetic moment: 0.11 μB per atom
* raw total energy: -1.154 eV/atom
* theoretical density: 11.17 g cm⁻³

abc: 6.718 6.718 6.718
angles: 90.00 90.00 90.00
Space group Fm-3m (No. 225)
Unique sites:
1 Ag 0.000 0.000 0.000 (multiplicity 4)
2 Hg 0.250 0.250 0.250 (multiplicity 8)
3 H 0.000 0.000 0.500 (multiplicity 4)

***

Which of these has the lowest raw total energy?
Hf2TaAgH

***

What did the second record say?
First-principles (GGA-PBE) data for a geometry-optimized Hf2TaAgH structure, as listed in Alexandria via LeMat-Bulk.

* total magnetic moment: 0.00 μB per atom
* raw total energy: -7.597 eV/atom
* theoretical density: 13.32 g cm⁻³

abc: 4.408 4.408 4.151
angles: 90.00 90.00 90.00
Space group P4/mmm (No. 123)
Unique sites:
1 Hf 0.000 0.500 0.000 (multiplicity 2)
2 Ta 0.000 0.000 0.500 (multiplicity 1)
3 Ag 0.500 0.500 0.500 (multiplicity 1)
4 H 0.000 0.000 0.000 (multiplicity 1)

***

Number 1 is which compound?
Hf2AgSnH

***

Copy entry 6 word for word.
First-principles (GGA-PBE) data for a geometry-optimized HfZr2AgH structure, as listed in Alexandria via LeMat-Bulk.

* total magnetic moment: 0.00 μB per atom
* raw total energy: -6.701 eV/atom
* theoretical density: 9.02 g cm⁻³

abc: 4.405 4.405 4.455
angles: 90.00 90.00 90.00
Space group P4/mmm (No. 123)
Unique sites:
1 Hf 0.000 0.000 0.000 (multiplicity 1)
2 Zr 0.000 0.500 0.500 (multiplicity 2)
3 Ag 0.500 0.500 0.000 (multiplicity 1)
4 H 0.500 0.500 0.500 (multiplicity 1)